Record 1
PBE-GGA LaPm7Tm12, relaxed; uncorrected energy = -87.21 eV/cell; DOS(E_F) = 1.83 states/eV per atom; formation enthalpy at 0 K = 0.2314 eV/atom
1.0
-5.284 5.620 4.009
-6.761 -2.681 -4.762
-2.087 -5.951 5.983
La Pm Tm
1 7 12
Direct
0.000 0.000 0.000
0.001 0.639 0.122
0.361 0.878 0.999
0.878 0.999 0.361
0.500 0.500 0.500
0.122 0.001 0.639
0.639 0.122 0.001
0.999 0.361 0.878
0.759 0.224 0.632
0.776 0.368 0.241
0.445 0.116 0.348
0.884 0.652 0.555
0.368 0.241 0.776
0.652 0.555 0.884
0.348 0.445 0.116
0.632 0.759 0.224
0.116 0.348 0.445
0.555 0.884 0.652
0.224 0.632 0.759
0.241 0.776 0.368

=====

Record 2
PBE-GGA Sm4RuSe2S, relaxed; uncorrected energy = -50.67 eV/cell; DOS(E_F) = 0.68 states/eV per atom
1.0
4.059 0.000 0.000
0.000 7.279 -0.270
0.000 2.447 6.774
Sm Ru Se S
4 1 2 1
Direct
0.000 0.730 0.762
0.000 0.270 0.238
0.500 0.726 0.242
0.500 0.274 0.758
0.500 0.500 0.000
0.000 0.000 0.000
0.500 0.000 0.500
0.000 0.500 0.500

=====

Record 3
PBE-GGA NiRu2RhN, relaxed; uncorrected energy = -38.60 eV/cell; DOS(E_F) = 1.54 states/eV per atom
1.0
-2.429 3.116 0.463
-2.335 -2.174 2.376
2.065 1.152 3.083
Ru N Rh Ni
2 1 1 1
Direct
0.000 0.500 0.000
0.500 0.000 0.000
0.000 0.000 0.000
0.500 0.500 0.500
0.000 0.000 0.500

=====

Record 4
PBE-GGA Al2O, relaxed; uncorrected energy = -33.09 eV/cell; DOS(E_F) = 0.10 states/eV per atom
1.0
4.254 0.000 0.081
0.000 2.847 0.000
-0.583 0.000 6.654
Al O
4 2
Direct
0.756 0.250 0.886
0.244 0.750 0.114
0.727 0.250 0.401
0.273 0.750 0.599
0.003 0.250 0.658
0.997 0.750 0.342

=====

Record 5
PBE-GGA Mg3ScZn, relaxed; uncorrected energy = -11.16 eV/cell; DOS(E_F) = 0.43 states/eV per atom; formation enthalpy at 0 K = 0.2455 eV/atom
1.0
4.927 0.000 0.000
0.000 4.927 0.000
0.000 0.000 4.927
Sc Zn Mg
1 1 3
Direct
0.500 0.500 0.500
0.000 0.000 0.000
0.000 0.500 0.000
0.000 0.000 0.500
0.500 0.000 0.000

=====

Record 6
PBE-GGA Y5Er2Tm, relaxed; uncorrected energy = -45.70 eV/cell; DOS(E_F) = 1.57 states/eV per atom; formation enthalpy at 0 K = 0.0277 eV/atom
1.0
7.088 -0.030 -0.042
-3.515 6.154 0.042
-3.515 -2.054 5.802
Y Er Tm
5 2 1
Direct
0.500 0.778 0.778
0.000 0.778 0.278
0.000 0.278 0.778
0.500 0.278 0.278
0.000 0.278 0.278
0.500 0.278 0.778
0.500 0.778 0.278
0.000 0.778 0.778

=====

Record 7
PBE-GGA BiSb2IN, relaxed; uncorrected energy = -11.92 eV/cell; DOS(E_F) = 2.93 states/eV per atom
1.0
5.920 0.000 0.000
0.000 5.920 0.000
0.000 0.000 5.971
I Sb Bi N
1 2 1 1
Direct
0.000 0.000 0.500
0.000 0.500 0.000
0.500 0.000 0.000
0.000 0.000 0.000
0.500 0.500 0.500

=====

Record 8
PBE-GGA Li2ScHRh, relaxed; uncorrected energy = -22.97 eV/cell; DOS(E_F) = 0.35 states/eV per atom
1.0
-0.294 3.088 -2.111
2.018 -1.652 -2.698
-3.794 -1.622 -1.845
Sc H Rh Li
1 1 1 2
Direct
0.000 0.000 0.500
0.000 0.000 0.000
0.500 0.500 0.500
0.000 0.500 0.000
0.500 0.000 0.000

=====

Record 9
PBE-GGA LiPd4Au5, relaxed; uncorrected energy = -40.69 eV/cell; DOS(E_F) = 0.64 states/eV per atom; formation enthalpy at 0 K = -0.1617 eV/atom
1.0
-1.159 1.860 -2.321
-2.775 0.220 1.562
5.419 13.096 7.787
Li Pd Au
1 4 5
Direct
0.000 0.000 0.000
0.000 0.000 0.194
0.000 0.000 0.398
0.000 0.000 0.602
0.000 0.000 0.806
0.500 0.500 0.091
0.500 0.500 0.297
0.500 0.500 0.500
0.500 0.500 0.703
0.500 0.500 0.909

=====

Record 10
PBE-GGA Na2PmErS4, relaxed; uncorrected energy = -43.07 eV/cell; DOS(E_F) = 0.00 states/eV per atom
1.0
4.024 0.000 0.000
0.000 6.973 0.107
0.000 -2.429 6.653
Na Pm Er S
2 1 1 4
Direct
0.500 0.000 0.500
0.000 0.500 0.500
0.500 0.500 0.000
0.000 0.000 0.000
0.500 0.235 0.226
0.500 0.765 0.774
0.000 0.248 0.770
0.000 0.752 0.230

=====

Record 11
PBE-GGA Cd2OsRu, relaxed; uncorrected energy = -19.59 eV/cell; DOS(E_F) = 1.09 states/eV per atom; formation enthalpy at 0 K = 0.6858 eV/atom
1.0
5.207 0.002 0.000
-2.109 4.761 0.000
0.000 0.000 2.759
Cd Os Ru
2 1 1
Direct
0.000 0.000 0.000
0.500 0.500 0.000
0.500 0.000 0.500
0.000 0.500 0.500

=====

Record 12
PBE-GGA PrHoErTm2, relaxed; uncorrected energy = -41.96 eV/cell; DOS(E_F) = 1.28 states/eV per atom; formation enthalpy at 0 K = 0.3761 eV/atom
1.0
7.174 0.000 0.000
0.000 8.336 0.000
0.000 -4.168 5.710
Pr Ho Er Tm
2 2 2 4
Direct
0.250 0.729 0.458
0.750 0.271 0.542
0.250 0.002 0.003
0.750 0.998 0.997
0.750 0.719 0.439
0.250 0.281 0.561
0.500 0.311 0.000
0.000 0.689 0.000
0.500 0.689 0.000
0.000 0.311 0.000

=====

Record 13
PBE-GGA Ta2TlSb, relaxed; uncorrected energy = -28.44 eV/cell; DOS(E_F) = 0.70 states/eV per atom
1.0
-3.014 -1.413 -4.489
-0.458 -3.177 -4.574
-2.795 -4.121 1.452
Sb Ta Tl
1 2 1
Direct
0.267 0.267 0.193
0.013 0.013 0.039
0.731 0.731 0.714
0.488 0.488 0.554

=====

Record 14
PBE-GGA HfSCl2, relaxed; uncorrected energy = -46.06 eV/cell; DOS(E_F) = 0.00 states/eV per atom
1.0
-4.122 7.266 4.043
-6.054 0.470 -7.018
-6.573 2.370 -0.307
S Hf Cl
2 2 4
Direct
0.500 0.500 0.000
0.250 0.750 0.500
0.000 0.000 0.000
0.750 0.250 0.500
0.772 0.125 0.250
0.978 0.625 0.250
0.375 0.228 0.750
0.875 0.022 0.750

=====

Record 15
PBE-GGA Nd4Sm7Hg, relaxed; uncorrected energy = -46.52 eV/cell; DOS(E_F) = 1.84 states/eV per atom; formation enthalpy at 0 K = 0.4906 eV/atom
1.0
-0.274 3.920 2.448
-3.479 -1.232 -2.796
-9.782 -11.429 17.209
Nd Sm Hg
4 7 1
Direct
0.667 0.333 0.091
0.333 0.667 0.909
0.667 0.333 0.344
0.333 0.667 0.656
0.000 0.000 0.000
0.667 0.333 0.560
0.333 0.667 0.440
0.667 0.333 0.823
0.333 0.667 0.177
0.000 0.000 0.255
0.000 0.000 0.745
0.000 0.000 0.500

=====

Record 16
PBE-GGA YGa2Si, relaxed; uncorrected energy = -19.63 eV/cell; DOS(E_F) = 0.36 states/eV per atom
1.0
4.309 0.000 0.000
0.000 4.202 0.000
0.000 0.000 4.202
Y Si Ga
1 1 2
Direct
0.500 0.000 0.000
0.500 0.500 0.500
0.000 0.000 0.500
0.000 0.500 0.000

=====

Record 17
PBE-GGA LiEuCu4, relaxed; uncorrected energy = -29.11 eV/cell; DOS(E_F) = 0.82 states/eV per atom; formation enthalpy at 0 K = -0.0896 eV/atom
1.0
5.143 0.000 0.000
2.572 4.454 0.000
2.572 1.485 4.199
Eu Cu Li
1 4 1
Direct
0.250 0.250 0.250
0.627 0.627 0.120
0.627 0.120 0.627
0.627 0.627 0.627
0.120 0.627 0.627
0.000 0.000 0.000

=====

Record 18
PBE-GGA SmEuGePt, relaxed; uncorrected energy = -28.76 eV/cell; DOS(E_F) = 2.75 states/eV per atom; formation enthalpy at 0 K = -0.7782 eV/atom
1.0
-2.358 4.345 1.390
-5.019 -0.036 1.082
-1.586 0.624 4.844
Eu Ge Sm Pt
1 1 1 1
Direct
0.500 0.500 0.500
0.750 0.750 0.750
0.000 0.000 0.000
0.250 0.250 0.250

=====

Record 19
PBE-GGA Tb2Pd5Au5, relaxed; uncorrected energy = -57.67 eV/cell; DOS(E_F) = 0.30 states/eV per atom; formation enthalpy at 0 K = -0.5047 eV/atom
1.0
4.453 0.000 1.259
1.462 6.181 3.333
-0.108 1.196 8.887
Tb Pd Au
2 5 5
Direct
0.857 0.510 0.776
0.143 0.490 0.224
0.926 0.761 0.387
0.217 0.757 0.810
0.783 0.243 0.190
0.074 0.239 0.613
0.000 0.000 0.000
0.500 0.500 0.500
0.383 0.214 0.020
0.307 0.964 0.422
0.693 0.036 0.578
0.617 0.786 0.980

=====

Record 20
PBE-GGA MgTlGa, relaxed; uncorrected energy = -14.01 eV/cell; DOS(E_F) = 0.39 states/eV per atom; formation enthalpy at 0 K = -0.0051 eV/atom
1.0
-2.256 -3.398 0.861
-1.328 -1.697 -10.180
2.825 -1.757 0.469
Mg Tl Ga
2 2 2
Direct
0.938 0.253 0.073
0.438 0.878 0.887
0.438 0.454 0.674
0.938 0.678 0.284
0.938 0.989 0.442
0.438 0.143 0.518